This record from Alexandria describes K2RbAgP after structural relaxation. The functional is PBE-GGA.

Calculated values
Its crystal system is tetragonal. The total energy comes out at -2.333 eV/atom. The calculated density is 2.428 Mg/m³.

Cell lengths 6.543, 6.543, 4.832 Å; angles 90.00, 90.00, 90.00 degrees
Sites, in units of the cell vectors:
P: 0.000 0.000 0.000
K: 0.000 0.500 0.000
K: 0.500 0.000 0.000
Rb: 0.500 0.500 0.500
Ag: 0.000 0.000 0.500